Below is a relaxed structure of PmPrPuPb, with properties calculated at the PBE level.

Cell lengths 5.5736, 5.5736, 5.5736 Å; angles 60.00, 60.00, 60.00 degrees
Element x y z (fractional)
Pm (0.0000, 0.0000, 0.0000)
Pr (0.7500, 0.7500, 0.7500)
Pu (0.5000, 0.5000, 0.5000)
Pb (0.2500, 0.2500, 0.2500)

Symmetry: F-43m

Below is a relaxed structure of LiHoCdRu, with properties calculated at the PBE level.

Cell lengths 4.7438, 4.7438, 4.7438 Å; angles 60.00, 60.00, 60.00 degrees
Element x y z (fractional)
Li (0.0000, 0.0000, 0.0000)
Ho (0.2500, 0.2500, 0.2500)
Cd (0.7500, 0.7500, 0.7500)
Ru (0.5000, 0.5000, 0.5000)

Symmetry: F-43m

| no. | size of the total moment (μB/cell) | E_form (eV/atom) |
| --- | --- | --- |
| 1 | 7.31 | 0.0177 |
| 2 | 0.00 | -0.1268 |